Record 1
Compound: CsNpGaI6
Source: the Alexandria database
Functional: PBE
Structure: optimized geometry

POSCAR file:
```
CsNpGaI6
1.0
8.258 0.000 0.000
-4.129 7.151 0.000
0.000 0.000 8.285
Cs Np Ga I
1 1 1 6
direct
0.000 0.000 0.000
0.667 0.333 0.500
0.333 0.667 0.500
0.385 0.020 0.710
0.385 0.365 0.290
0.635 0.020 0.290
0.635 0.615 0.710
0.980 0.365 0.710
0.980 0.615 0.290
```

=====

Record 2
Compound: CsGaI2O
Source: the Alexandria database
Functional: PBE
Structure: optimized geometry

POSCAR file:
```
CsGaI2O
1.0
6.469 0.000 0.000
0.000 6.469 0.000
0.000 0.000 3.713
Cs Ga I O
1 1 2 1
direct
0.000 0.000 0.000
0.500 0.500 0.500
0.000 0.500 0.500
0.500 0.000 0.500
0.500 0.500 0.000
```

polymorph energy (0 for the lowest one) = 0.000 eV per atom

=====

| no. | formation energy from raw total energies (kcal/mol of atoms) | energy (eV per atom) | DOS(E_F) (states/eV/f.u.) |
| --- | --- | --- | --- |
| 1 | -20.35 | -3.785 | 3.97 |
| 2 | -21.23 | -3.308 | 2.05 |